This record from Alexandria via LeMat-Bulk describes a relaxed MnZnCr2Mo crystal. The functional is PBEsol.

For the energy of formation, the calculation gives 874.0 kJ/mol of formula units.

The space group is P4/mmm (No. 123) and the conventional cell measures 4.4478, 4.4478 and 4.6297 Å, with angles of 90.00, 90.00 and 90.00 degrees. The asymmetric unit holds Mn at (0.0000, 0.0000, 0.0000), Zn at (0.5000, 0.5000, 0.5000), Cr at (0.0000, 0.5000, 0.5000) and Mo at (0.5000, 0.5000, 0.0000).

***

This record from Alexandria via LeMat-Bulk describes a relaxed Cd2Sn2Hg crystal. The functional is PBEsol.

For the energy of formation, the calculation gives 42.4 kJ/mol of formula units.

The space group is P4/mbm (No. 127) and the conventional cell measures 9.0609, 9.0609 and 3.0613 Å, with angles of 90.00, 90.00 and 90.00 degrees. The asymmetric unit holds Cd at (0.1447, 0.3553, 0.0000), Sn at (0.1534, 0.6534, 0.5000) and Hg at (0.0000, 0.0000, 0.5000).

***

This record from Alexandria via LeMat-Bulk describes a relaxed AlCoTc2Rh crystal. The functional is PBEsol.

For the energy of formation, the calculation gives 786.4 kJ/mol of formula units.

The space group is P4/mmm (No. 123) and the conventional cell measures 4.5511, 4.5511 and 4.4176 Å, with angles of 90.00, 90.00 and 90.00 degrees. The asymmetric unit holds Al at (0.0000, 0.0000, 0.0000), Co at (0.5000, 0.5000, 0.0000), Tc at (0.0000, 0.5000, 0.5000) and Rh at (0.5000, 0.5000, 0.5000).

***

This record from Alexandria via LeMat-Bulk describes a relaxed AlTc5 crystal. The functional is PBEsol.

Its energy above the most stable polymorph in this dataset is 30 meV per atom. For the energy of formation, the calculation gives -46.5 kJ/mol of formula units.

The space group is P4/mmm (No. 123) and the conventional cell measures 2.7884, 2.7884 and 10.7312 Å, with angles of 90.00, 90.00 and 90.00 degrees. The asymmetric unit holds Al at (0.0000, 0.0000, 0.0000), Tc at (0.0000, 0.0000, 0.3234), Tc at (0.5000, 0.5000, 0.1630) and Tc at (0.5000, 0.5000, 0.5000).

***

This record from Alexandria via LeMat-Bulk describes a relaxed Li2BeOs crystal. The functional is PBEsol.

For the energy of formation, the calculation gives 51.7 kJ/mol of formula units.

The space group is P2/m (No. 10) and the conventional cell measures 2.5213, 4.4825 and 4.1953 Å, with angles of 90.00, 93.61 and 90.00 degrees. The asymmetric unit holds Li at (0.2183, 0.0000, 0.2420), Be at (0.0000, 0.5000, 0.5000) and Os at (0.5000, 0.5000, 0.0000).

***

This record from Alexandria via LeMat-Bulk describes a relaxed YBeTl crystal. The functional is PBEsol.

Its energy above the most stable polymorph in this dataset is 337 meV per atom. For the energy of formation, the calculation gives 42.2 kJ/mol of formula units.

The space group is F-43m (No. 216) and the conventional cell measures 6.5620, 6.5620 and 6.5620 Å, with angles of 90.00, 90.00 and 90.00 degrees. The asymmetric unit holds Y at (0.0000, 0.0000, 0.0000), Be at (0.0000, 0.0000, 0.5000) and Tl at (0.2500, 0.2500, 0.7500).

***

This record from Alexandria via LeMat-Bulk describes a relaxed YMnSe2Br crystal. The functional is PBEsol.

The value obtained for the energy relative to the elements, uncorrected is -625 meV/atom.

The space group is P4/mmm (No. 123) and the conventional cell measures 4.8736, 4.8736 and 4.7360 Å, with angles of 90.00, 90.00 and 90.00 degrees. The asymmetric unit holds Y at (0.0000, 0.0000, 0.0000), Mn at (0.5000, 0.5000, 0.5000), Se at (0.0000, 0.5000, 0.5000) and Br at (0.5000, 0.5000, 0.0000).

***

This record from Alexandria via LeMat-Bulk describes a relaxed ZrBeNi2 crystal. The functional is PBEsol.

Its energy above the most stable polymorph in this dataset is 162 meV per atom. For the energy of formation, the calculation gives -58.5 kJ/mol of formula units.

The space group is P4/mmm (No. 123) and the conventional cell measures 4.0085, 4.0085 and 3.1968 Å, with angles of 90.00, 90.00 and 90.00 degrees. The asymmetric unit holds Zr at (0.0000, 0.0000, 0.0000), Be at (0.5000, 0.5000, 0.0000) and Ni at (0.0000, 0.5000, 0.5000).

***

It is found that the total moment values, taken in the order of the records, are 8.4, 0.0, 3.2, 0.0, 0.0, 0.0, 3.6, 0.0 μB/f.u..
It is found that the DOS(E_F) values, taken in the order of the records, are 5.39, 4.30, 7.43, 4.42, 1.28, 0.24, 2.35, 3.44 states/eV per cell.